No. 1
Material: Pr3Sm4YTe8
Method: DFT, GGA-PBE
State: optimized geometry

Summary:
The space group is R-3m. As for the uncorrected formation energy: -1.39 eV/atom.

Geometry as CIF:
```
data_Pr3Sm4YTe8
_chemical_formula_sum 'Pr3 Sm4 Y1 Te8'
_symmetry_space_group_name_H-M 'P 1'
_symmetry_Int_Tables_number 1
_cell_length_a 8.932
_cell_length_b 8.932
_cell_length_c 8.932
_cell_angle_alpha 60.14
_cell_angle_beta 60.14
_cell_angle_gamma 60.14
loop_
_symmetry_equiv_pos_as_xyz
'x,y,z'
loop_
_atom_site_label
_atom_site_type_symbol
_atom_site_fract_x
_atom_site_fract_y
_atom_site_fract_z
_atom_site_occupancy
Pr1 Pr 0.000 0.500 0.500 1
Pr2 Pr 0.500 0.000 0.500 1
Pr3 Pr 0.500 0.500 0.000 1
Sm1 Sm 0.000 0.000 0.500 1
Sm2 Sm 0.000 0.500 0.000 1
Sm3 Sm 0.500 0.000 0.000 1
Sm4 Sm 0.500 0.500 0.500 1
Y1 Y 0.000 0.000 0.000 1
Te1 Te 0.243 0.752 0.752 1
Te2 Te 0.248 0.248 0.248 1
Te3 Te 0.248 0.248 0.757 1
Te4 Te 0.248 0.757 0.248 1
Te5 Te 0.752 0.243 0.752 1
Te6 Te 0.752 0.752 0.243 1
Te7 Te 0.752 0.752 0.752 1
Te8 Te 0.757 0.248 0.248 1
```

---

No. 2
Material: GdCu4Tc
Method: DFT, GGA-PBE
State: optimized geometry

Summary:
The space group is F-43m. The value obtained for the total DFT energy (no corrections) is -6.734 eV per atom.

Geometry as CIF:
```
data_GdCu4Tc
_chemical_formula_sum 'Gd1 Cu4 Tc1'
_symmetry_space_group_name_H-M 'P 1'
_symmetry_Int_Tables_number 1
_cell_length_a 5.006
_cell_length_b 5.006
_cell_length_c 5.006
_cell_angle_alpha 60.00
_cell_angle_beta 60.00
_cell_angle_gamma 60.00
loop_
_symmetry_equiv_pos_as_xyz
'x,y,z'
loop_
_atom_site_label
_atom_site_type_symbol
_atom_site_fract_x
_atom_site_fract_y
_atom_site_fract_z
_atom_site_occupancy
Gd1 Gd 0.000 0.000 0.000 1
Cu1 Cu 0.129 0.624 0.624 1
Cu2 Cu 0.624 0.129 0.624 1
Cu3 Cu 0.624 0.624 0.129 1
Cu4 Cu 0.624 0.624 0.624 1
Tc1 Tc 0.250 0.250 0.250 1
```

---

No. 3
Material: Tc2Ir
Method: DFT, GGA-PBE
State: optimized geometry

Summary:
The space group is P-62m. The value obtained for the total DFT energy (no corrections) is -9.519 eV per atom.

Geometry as CIF:
```
data_Tc2Ir
_chemical_formula_sum 'Tc6 Ir3'
_symmetry_space_group_name_H-M 'P 1'
_symmetry_Int_Tables_number 1
_cell_length_a 6.540
_cell_length_b 6.540
_cell_length_c 3.806
_cell_angle_alpha 90.00
_cell_angle_beta 90.00
_cell_angle_gamma 120.00
loop_
_symmetry_equiv_pos_as_xyz
'x,y,z'
loop_
_atom_site_label
_atom_site_type_symbol
_atom_site_fract_x
_atom_site_fract_y
_atom_site_fract_z
_atom_site_occupancy
Tc1 Tc 0.000 0.257 0.000 1
Tc2 Tc 0.000 0.602 0.500 1
Tc3 Tc 0.257 0.000 0.000 1
Tc4 Tc 0.398 0.398 0.500 1
Tc5 Tc 0.602 0.000 0.500 1
Tc6 Tc 0.743 0.743 0.000 1
Ir1 Ir 0.000 0.000 0.500 1
Ir2 Ir 0.333 0.667 0.000 1
Ir3 Ir 0.667 0.333 0.000 1
```